[1]
Entry from Alexandria: a geometry-optimized BaOs3Br structure (PBE).

a = 4.7616 Å, b = 4.7616 Å, c = 4.7616 Å
α = 90.00°, β = 90.00°, γ = 90.00°
Space group Pm-3m (No. 221)
One atom of each set of equivalent atoms:
Ba 0.0000 0.0000 0.0000
Os 0.0000 0.5000 0.5000
Br 0.5000 0.5000 0.5000

DOS(E_F) ... 1.16 states/eV/atom
VASP energy ... -27.30 eV for the cell shown

---

[2]
Entry from Alexandria: a geometry-optimized BaOs2Br structure (PBE).

a = 2.9909 Å, b = 5.6486 Å, c = 6.4398 Å
α = 90.00°, β = 90.00°, γ = 90.00°
Space group Pmmm (No. 47)
One atom of each set of equivalent atoms:
Ba 0.0000 0.0000 0.0000
Os 0.5000 0.5000 0.1714
Br 0.0000 0.0000 0.5000

DOS(E_F) ... 0.41 states/eV/atom
VASP energy ... -21.66 eV for the cell shown

---

[3]
Entry from Alexandria: a geometry-optimized BaOs2Br structure (PBE).

a = 3.8441 Å, b = 6.0398 Å, c = 9.4485 Å
α = 90.00°, β = 90.00°, γ = 90.00°
Space group Imm2 (No. 44)
One atom of each set of equivalent atoms:
Ba 0.0000 0.0000 0.0000
Os 0.0000 0.0000 0.5167
Os 0.0000 0.5000 0.1555
Br 0.0000 0.5000 0.7994

DOS(E_F) ... 0.94 states/eV/atom
VASP energy ... -47.97 eV for the cell shown

---

[4]
Entry from Alexandria: a geometry-optimized BaOsBr structure (PBE).

a = 3.5056 Å, b = 3.5056 Å, c = 13.2722 Å
α = 90.00°, β = 90.00°, γ = 90.00°
Space group I4mm (No. 107)
One atom of each set of equivalent atoms:
Ba 0.0000 0.0000 0.0000
Os 0.0000 0.0000 0.6719
Br 0.0000 0.0000 0.3259

DOS(E_F) ... 0.66 states/eV/atom
VASP energy ... -25.06 eV for the cell shown

---

[5]
Entry from Alexandria: a geometry-optimized BaOs2Br structure (PBE).

a = 5.4896 Å, b = 11.3373 Å, c = 3.0040 Å
α = 90.00°, β = 90.00°, γ = 90.00°
Space group Cmmm (No. 65)
One atom of each set of equivalent atoms:
Ba 0.0000 0.0000 0.0000
Os 0.2500 0.2500 0.5000
Br 0.0000 0.5000 0.0000

DOS(E_F) ... 1.18 states/eV/atom
VASP energy ... -40.08 eV for the cell shown

---

[6]
Entry from Alexandria: a geometry-optimized BaOs2Br structure (PBE).

a = 5.0615 Å, b = 5.0615 Å, c = 16.8072 Å
α = 90.00°, β = 90.00°, γ = 90.00°
Space group I4_1/amd (No. 141, origin choice 2)
One atom of each set of equivalent atoms:
Ba 0.0000 0.2500 0.3750
Os 0.0000 0.0000 0.0000
Br 0.0000 0.2500 0.8750

DOS(E_F) ... 0.91 states/eV/atom
VASP energy ... -90.40 eV for the cell shown

---

[7]
Entry from Alexandria: a geometry-optimized BaOs2Br structure (PBE).

a = 3.2564 Å, b = 4.5949 Å, c = 12.8795 Å
α = 90.00°, β = 90.00°, γ = 90.00°
Space group Immm (No. 71)
One atom of each set of equivalent atoms:
Ba 0.0000 0.0000 0.0000
Os 0.0000 0.5000 0.2483
Br 0.0000 0.0000 0.5000

DOS(E_F) ... 1.31 states/eV/atom
VASP energy ... -43.86 eV for the cell shown

---

[8]
Entry from Alexandria: a geometry-optimized BaOsBr structure (PBE).

a = 4.3984 Å, b = 4.3984 Å, c = 4.7514 Å
α = 90.00°, β = 90.00°, γ = 120.00°
Space group P-6m2 (No. 187)
One atom of each set of equivalent atoms:
Ba 0.0000 0.0000 0.0000
Os 0.3333 0.6667 0.5000
Br 0.6667 0.3333 0.5000

DOS(E_F) ... 1.12 states/eV/atom
VASP energy ... -13.48 eV for the cell shown

---

[9]
Entry from Alexandria: a geometry-optimized BaOsBr3 structure (PBE).

a = 6.2661 Å, b = 6.2661 Å, c = 6.2661 Å
α = 90.00°, β = 90.00°, γ = 90.00°
Space group Pm-3m (No. 221)
One atom of each set of equivalent atoms:
Ba 0.0000 0.0000 0.0000
Os 0.5000 0.5000 0.5000
Br 0.0000 0.0000 0.5000

DOS(E_F) ... 1.25 states/eV/atom
VASP energy ... -16.63 eV for the cell shown

---

[10]
Entry from Alexandria: a geometry-optimized BaOs2Br structure (PBE).

a = 3.1650 Å, b = 4.7215 Å, c = 6.3204 Å
α = 90.00°, β = 90.00°, γ = 90.00°
Space group Pmmm (No. 47)
One atom of each set of equivalent atoms:
Ba 0.0000 0.0000 0.0000
Os 0.0000 0.5000 0.5000
Os 0.5000 0.0000 0.5000
Br 0.5000 0.5000 0.0000

DOS(E_F) ... 1.00 states/eV/atom
VASP energy ... -21.89 eV for the cell shown

---

[11]
Entry from Alexandria: a geometry-optimized BaOs2Br structure (PBE).

a = 7.0266 Å, b = 7.0266 Å, c = 7.0266 Å
α = 90.00°, β = 90.00°, γ = 90.00°
Space group F-43m (No. 216)
One atom of each set of equivalent atoms:
Ba 0.0000 0.0000 0.0000
Os 0.0000 0.0000 0.5000
Os 0.2500 0.2500 0.2500
Br 0.2500 0.2500 0.7500

DOS(E_F) ... 1.48 states/eV/atom
VASP energy ... -81.67 eV for the cell shown

---

[12]
Entry from Alexandria: a geometry-optimized BaOs2Br structure (PBE).

a = 4.0031 Å, b = 5.9715 Å, c = 4.6854 Å
α = 90.00°, β = 90.41°, γ = 90.00°
Space group P2/m (No. 10)
One atom of each set of equivalent atoms:
Ba 0.0000 0.0000 0.0000
Os 0.2497 0.5000 0.6309
Br 0.5000 0.0000 0.5000

DOS(E_F) ... 1.18 states/eV/atom
VASP energy ... -23.09 eV for the cell shown

---

[13]
Entry from Alexandria: a geometry-optimized BaOs2Br structure (PBE).

a = 4.0927 Å, b = 4.0927 Å, c = 6.0551 Å
α = 90.00°, β = 90.00°, γ = 90.00°
Space group P4/mmm (No. 123)
One atom of each set of equivalent atoms:
Ba 0.0000 0.0000 0.0000
Os 0.5000 0.5000 0.3136
Br 0.0000 0.0000 0.5000

DOS(E_F) ... 1.58 states/eV/atom
VASP energy ... -19.62 eV for the cell shown

---

[14]
Entry from Alexandria: a geometry-optimized BaOs2Br structure (PBE).

a = 3.0583 Å, b = 3.0583 Å, c = 29.7513 Å
α = 90.00°, β = 90.00°, γ = 120.00°
Space group R-3m (No. 166, hexagonal axes)
One atom of each set of equivalent atoms:
Ba 0.0000 0.0000 0.0000
Os 0.0000 0.0000 0.2366
Br 0.0000 0.0000 0.5000

DOS(E_F) ... 1.55 states/eV/atom
VASP energy ... -58.96 eV for the cell shown

---

[15]
Entry from Alexandria: a geometry-optimized BaOs2Br structure (PBE).

a = 7.1601 Å, b = 4.0861 Å, c = 8.4903 Å
α = 90.00°, β = 111.43°, γ = 90.00°
Space group Cm (No. 8)
One atom of each set of equivalent atoms:
Ba 0.0000 0.0000 0.0000
Os 0.2981 0.5000 0.3009
Os 0.4899 0.0000 0.3569
Br 0.2137 0.0000 0.7288

DOS(E_F) ... 0.51 states/eV/atom
VASP energy ... -51.06 eV for the cell shown

---

[16]
Entry from Alexandria: a geometry-optimized BaOs2Br structure (PBE).

a = 3.1556 Å, b = 3.8045 Å, c = 8.3111 Å
α = 90.00°, β = 99.68°, γ = 90.00°
Space group Pm (No. 6)
One atom of each set of equivalent atoms:
Ba 0.0000 0.0000 0.0000
Os 0.3208 0.5000 0.6931
Os 0.7072 0.0000 0.5980
Br 0.6147 0.5000 0.2521

DOS(E_F) ... 0.88 states/eV/atom
VASP energy ... -24.67 eV for the cell shown

---

[17]
Entry from Alexandria: a geometry-optimized BaOs2Br structure (PBE).

a = 12.1911 Å, b = 3.9174 Å, c = 5.5539 Å
α = 90.00°, β = 108.75°, γ = 90.00°
Space group C2/m (No. 12)
One atom of each set of equivalent atoms:
Ba 0.0000 0.0000 0.0000
Os 0.2178 0.5000 0.8863
Br 0.0000 0.5000 0.5000

DOS(E_F) ... 0.62 states/eV/atom
VASP energy ... -48.39 eV for the cell shown

---

[18]
Entry from Alexandria: a geometry-optimized BaPOsBr2 structure (PBE).

a = 5.1406 Å, b = 5.1406 Å, c = 6.3630 Å
α = 90.00°, β = 90.00°, γ = 90.00°
Space group P4/mmm (No. 123)
One atom of each set of equivalent atoms:
Ba 0.0000 0.0000 0.0000
P 0.0000 0.0000 0.5000
Os 0.5000 0.5000 0.0000
Br 0.0000 0.5000 0.5000

DOS(E_F) ... 1.15 states/eV/atom
VASP energy ... -17.64 eV for the cell shown

---

[19]
Entry from Alexandria: a geometry-optimized BaOsSeBr2 structure (PBE).

a = 6.1893 Å, b = 6.1893 Å, c = 6.4655 Å
α = 90.00°, β = 90.00°, γ = 90.00°
Space group P4/mmm (No. 123)
One atom of each set of equivalent atoms:
Ba 0.0000 0.0000 0.0000
Os 0.5000 0.5000 0.5000
Se 0.0000 0.0000 0.5000
Br 0.0000 0.5000 0.0000

DOS(E_F) ... 0.84 states/eV/atom
VASP energy ... -16.33 eV for the cell shown

---

[20]
Entry from Alexandria: a geometry-optimized BaOsSe2Br structure (PBE).

a = 6.2688 Å, b = 6.2688 Å, c = 6.1314 Å
α = 90.00°, β = 90.00°, γ = 90.00°
Space group P4/mmm (No. 123)
One atom of each set of equivalent atoms:
Ba 0.0000 0.0000 0.0000
Os 0.5000 0.5000 0.5000
Se 0.0000 0.5000 0.0000
Br 0.0000 0.0000 0.5000

DOS(E_F) ... 1.50 states/eV/atom
VASP energy ... -15.96 eV for the cell shown